1.
{
  "formula": "TbNd3Er5",
  "functional": "PBE",
  "state": "relaxed",
  "space_group": "C2/c, No. 15",
  "cell": [[9.161, -3.172, 0.000], [9.161, 3.172, 0.000], [-4.463, 0.000, 10.589]],
  "species": ["Tb", "Tb", "Nd", "Nd", "Nd", "Nd", "Nd", "Nd", "Er", "Er", "Er", "Er", "Er", "Er", "Er", "Er", "Er", "Er"],
  "fractional_positions": [[0.093, 0.907, 0.750], [0.907, 0.093, 0.250], [0.142, 0.512, 0.630], [0.488, 0.858, 0.870], [0.500, 0.500, 0.000], [0.500, 0.500, 0.500], [0.512, 0.142, 0.130], [0.858, 0.488, 0.370], [0.033, 0.646, 0.987], [0.037, 0.627, 0.285], [0.354, 0.967, 0.513], [0.373, 0.963, 0.215], [0.384, 0.616, 0.250], [0.616, 0.384, 0.750], [0.627, 0.037, 0.785], [0.646, 0.033, 0.487], [0.963, 0.373, 0.715], [0.967, 0.354, 0.013]]
}


2.
{
  "formula": "TbNd3Er5",
  "functional": "PBE",
  "state": "relaxed",
  "space_group": "C2/m, No. 12",
  "cell": [[7.683, -5.627, 0.000], [7.683, 5.627, 0.000], [-6.533, 0.000, 7.597]],
  "species": ["Tb", "Tb", "Nd", "Nd", "Nd", "Nd", "Nd", "Nd", "Er", "Er", "Er", "Er", "Er", "Er", "Er", "Er", "Er", "Er"],
  "fractional_positions": [[0.247, 0.247, 0.399], [0.753, 0.753, 0.601], [0.000, 0.000, 0.000], [0.026, 0.026, 0.366], [0.491, 0.491, 0.193], [0.500, 0.500, 0.500], [0.509, 0.509, 0.807], [0.974, 0.974, 0.634], [0.090, 0.592, 0.247], [0.222, 0.222, 0.035], [0.259, 0.741, 0.000], [0.285, 0.285, 0.776], [0.408, 0.910, 0.753], [0.592, 0.090, 0.247], [0.715, 0.715, 0.224], [0.741, 0.259, 0.000], [0.778, 0.778, 0.965], [0.910, 0.408, 0.753]]
}


Here are the energies relative to the best structure, in kJ/mol of atoms: 1 0.0; 2 22.4.


1.
{
  "formula": "Tb4NdEr4",
  "functional": "PBE",
  "state": "relaxed",
  "space_group": "Cmcm, No. 63",
  "cell": [[6.174, -7.295, 0.000], [6.174, 7.295, 0.000], [0.000, 0.000, 6.492]],
  "species": ["Tb", "Tb", "Tb", "Tb", "Tb", "Tb", "Tb", "Tb", "Nd", "Nd", "Er", "Er", "Er", "Er", "Er", "Er", "Er", "Er"],
  "fractional_positions": [[0.061, 0.456, 0.750], [0.141, 0.141, 0.000], [0.141, 0.141, 0.500], [0.456, 0.061, 0.250], [0.544, 0.939, 0.750], [0.859, 0.859, 0.000], [0.859, 0.859, 0.500], [0.939, 0.544, 0.250], [0.397, 0.603, 0.750], [0.603, 0.397, 0.250], [0.204, 0.796, 0.004], [0.204, 0.796, 0.496], [0.268, 0.458, 0.250], [0.458, 0.268, 0.750], [0.542, 0.732, 0.250], [0.732, 0.542, 0.750], [0.796, 0.204, 0.504], [0.796, 0.204, 0.996]]
}


2.
{
  "formula": "Tb4NdEr4",
  "functional": "PBE",
  "state": "relaxed",
  "space_group": "I4/mmm, No. 139",
  "cell": [[-5.329, 5.329, 2.502], [5.329, -5.329, 2.502], [5.329, 5.329, -2.502]],
  "species": ["Tb", "Tb", "Tb", "Tb", "Nd", "Er", "Er", "Er", "Er"],
  "fractional_positions": [[0.000, 0.333, 0.333], [0.000, 0.667, 0.667], [0.333, 0.000, 0.333], [0.667, 0.000, 0.667], [0.000, 0.000, 0.000], [0.333, 0.333, 0.665], [0.333, 0.667, 0.000], [0.667, 0.333, 0.000], [0.667, 0.667, 0.335]]
}


Here are the energies relative to the best structure, in kJ/mol of atoms: 1 17.8; 2 0.0.


1.
{
  "formula": "TbNd3Er2",
  "functional": "PBE",
  "state": "relaxed",
  "space_group": "C2/m, No. 12",
  "cell": [[8.375, -2.874, 0.000], [8.375, 2.874, 0.000], [-5.255, 0.000, 8.325]],
  "species": ["Tb", "Tb", "Nd", "Nd", "Nd", "Nd", "Nd", "Nd", "Er", "Er", "Er", "Er"],
  "fractional_positions": [[0.137, 0.137, 0.145], [0.863, 0.863, 0.855], [0.042, 0.042, 0.711], [0.307, 0.307, 0.004], [0.387, 0.387, 0.433], [0.613, 0.613, 0.567], [0.693, 0.693, 0.996], [0.958, 0.958, 0.289], [0.221, 0.221, 0.568], [0.456, 0.456, 0.817], [0.544, 0.544, 0.183], [0.779, 0.779, 0.432]]
}


2.
{
  "formula": "TbNd3Er2",
  "functional": "PBE",
  "state": "relaxed",
  "space_group": "Ibam, No. 72",
  "cell": [[-5.547, 6.143, 3.394], [5.547, -6.143, 3.394], [5.547, 6.143, -3.394]],
  "species": ["Tb", "Tb", "Nd", "Nd", "Nd", "Nd", "Nd", "Nd", "Er", "Er", "Er", "Er"],
  "fractional_positions": [[0.000, 0.000, 0.000], [0.500, 0.500, 0.000], [0.015, 0.250, 0.765], [0.250, 0.750, 0.500], [0.485, 0.250, 0.235], [0.515, 0.750, 0.765], [0.750, 0.250, 0.500], [0.985, 0.750, 0.235], [0.178, 0.743, 0.921], [0.322, 0.243, 0.565], [0.678, 0.757, 0.435], [0.822, 0.257, 0.079]]
}


Here are the energies relative to the best structure, in kJ/mol of atoms: 1 0.0; 2 47.2.


1.
{
  "formula": "Tb2Nd12Er5",
  "functional": "PBE",
  "state": "relaxed",
  "space_group": "C2/m, No. 12",
  "cell": [[7.654, -5.281, 0.000], [7.654, 5.281, 0.000], [-0.463, 0.000, 8.057]],
  "species": ["Tb", "Tb", "Nd", "Nd", "Nd", "Nd", "Nd", "Nd", "Nd", "Nd", "Nd", "Nd", "Nd", "Nd", "Er", "Er", "Er", "Er", "Er"],
  "fractional_positions": [[0.235, 0.765, 0.000], [0.765, 0.235, 0.000], [0.054, 0.054, 0.713], [0.088, 0.539, 0.207], [0.121, 0.666, 0.613], [0.334, 0.879, 0.387], [0.364, 0.364, 0.889], [0.461, 0.912, 0.793], [0.539, 0.088, 0.207], [0.636, 0.636, 0.111], [0.666, 0.121, 0.613], [0.879, 0.334, 0.387], [0.912, 0.461, 0.793], [0.946, 0.946, 0.287], [0.155, 0.155, 0.094], [0.258, 0.258, 0.512], [0.500, 0.500, 0.500], [0.742, 0.742, 0.488], [0.845, 0.845, 0.906]]
}


2.
{
  "formula": "Tb2Nd12Er5",
  "functional": "PBE",
  "state": "relaxed",
  "space_group": "C2/m, No. 12",
  "cell": [[7.962, -4.661, 0.000], [7.962, 4.661, 0.000], [-0.268, 0.000, 8.745]],
  "species": ["Tb", "Tb", "Nd", "Nd", "Nd", "Nd", "Nd", "Nd", "Nd", "Nd", "Nd", "Nd", "Nd", "Nd", "Er", "Er", "Er", "Er", "Er"],
  "fractional_positions": [[0.171, 0.829, 0.000], [0.829, 0.171, 0.000], [0.062, 0.062, 0.342], [0.068, 0.675, 0.324], [0.166, 0.530, 0.764], [0.325, 0.932, 0.676], [0.417, 0.417, 0.117], [0.470, 0.834, 0.236], [0.530, 0.166, 0.764], [0.583, 0.583, 0.883], [0.675, 0.068, 0.324], [0.834, 0.470, 0.236], [0.932, 0.325, 0.676], [0.938, 0.938, 0.658], [0.202, 0.202, 0.027], [0.269, 0.269, 0.432], [0.500, 0.500, 0.500], [0.731, 0.731, 0.568], [0.798, 0.798, 0.973]]
}


Here are the energies relative to the best structure, in kJ/mol of atoms: 1 1.0; 2 0.0.


1.
{
  "formula": "Tb6NdEr3",
  "functional": "PBE",
  "state": "relaxed",
  "space_group": "Cmc2_1, No. 36",
  "cell": [[5.509, -9.485, 0.000], [5.509, 9.485, 0.000], [0.000, 0.000, 6.189]],
  "species": ["Tb", "Tb", "Tb", "Tb", "Tb", "Tb", "Tb", "Tb", "Tb", "Tb", "Tb", "Tb", "Nd", "Nd", "Er", "Er", "Er", "Er", "Er", "Er"],
  "fractional_positions": [[0.044, 0.464, 0.045], [0.045, 0.955, 0.500], [0.281, 0.719, 0.768], [0.290, 0.380, 0.876], [0.380, 0.290, 0.376], [0.464, 0.044, 0.545], [0.536, 0.956, 0.045], [0.620, 0.710, 0.876], [0.710, 0.620, 0.376], [0.719, 0.281, 0.268], [0.955, 0.045, 0.000], [0.956, 0.536, 0.545], [0.204, 0.796, 0.268], [0.796, 0.204, 0.768], [0.063, 0.282, 0.452], [0.282, 0.063, 0.952], [0.389, 0.611, 0.338], [0.611, 0.389, 0.838], [0.718, 0.937, 0.452], [0.937, 0.718, 0.952]]
}


2.
{
  "formula": "Tb6NdEr3",
  "functional": "PBE",
  "state": "relaxed",
  "space_group": "Cmc2_1, No. 36",
  "cell": [[4.818, -10.484, 0.000], [4.818, 10.484, 0.000], [0.000, 0.000, 6.383]],
  "species": ["Tb", "Tb", "Tb", "Tb", "Tb", "Tb", "Tb", "Tb", "Tb", "Tb", "Tb", "Tb", "Nd", "Nd", "Er", "Er", "Er", "Er", "Er", "Er"],
  "fractional_positions": [[0.015, 0.985, 0.500], [0.106, 0.543, 0.979], [0.262, 0.379, 0.735], [0.302, 0.698, 0.518], [0.379, 0.262, 0.235], [0.457, 0.894, 0.979], [0.543, 0.106, 0.479], [0.621, 0.738, 0.735], [0.698, 0.302, 0.018], [0.738, 0.621, 0.235], [0.894, 0.457, 0.479], [0.985, 0.015, 0.000], [0.161, 0.839, 0.300], [0.839, 0.161, 0.800], [0.043, 0.296, 0.324], [0.296, 0.043, 0.824], [0.418, 0.582, 0.211], [0.582, 0.418, 0.711], [0.704, 0.957, 0.324], [0.957, 0.704, 0.824]]
}


Here are the energies relative to the best structure, in kJ/mol of atoms: 1 2.5; 2 0.0.


1.
{
  "formula": "Tb2Nd2Er5",
  "functional": "PBE",
  "state": "relaxed",
  "space_group": "C2/m, No. 12",
  "cell": [[10.770, -1.741, 0.000], [10.770, 1.741, 0.000], [-1.408, 0.000, 8.087]],
  "species": ["Tb", "Tb", "Nd", "Nd", "Er", "Er", "Er", "Er", "Er"],
  "fractional_positions": [[0.046, 0.046, 0.355], [0.954, 0.954, 0.645], [0.317, 0.317, 0.856], [0.683, 0.683, 0.144], [0.190, 0.190, 0.528], [0.403, 0.403, 0.267], [0.500, 0.500, 0.000], [0.597, 0.597, 0.733], [0.810, 0.810, 0.472]]
}


2.
{
  "formula": "Tb2Nd2Er5",
  "functional": "PBE",
  "state": "relaxed",
  "space_group": "Ima2, No. 46",
  "cell": [[-7.449, 5.894, 3.351], [7.449, -5.894, 3.351], [7.449, 5.894, -3.351]],
  "species": ["Tb", "Tb", "Tb", "Tb", "Nd", "Nd", "Nd", "Nd", "Er", "Er", "Er", "Er", "Er", "Er", "Er", "Er", "Er", "Er"],
  "fractional_positions": [[0.005, 0.127, 0.132], [0.005, 0.373, 0.379], [0.995, 0.627, 0.621], [0.995, 0.873, 0.868], [0.440, 0.701, 0.239], [0.461, 0.201, 0.761], [0.549, 0.049, 0.500], [0.549, 0.549, 0.000], [0.109, 0.298, 0.704], [0.109, 0.904, 0.311], [0.403, 0.405, 0.498], [0.424, 0.018, 0.122], [0.424, 0.802, 0.906], [0.593, 0.404, 0.296], [0.593, 0.798, 0.689], [0.896, 0.302, 0.878], [0.896, 0.518, 0.094], [0.907, 0.905, 0.502]]
}


Here are the energies relative to the best structure, in kJ/mol of atoms: 1 1.8; 2 0.0.


1.
{
  "formula": "Tb3NdEr",
  "functional": "PBE",
  "state": "relaxed",
  "space_group": "P2_1/m, No. 11",
  "cell": [[3.612, 0.000, 0.000], [0.000, 11.593, 0.000], [-1.737, 0.000, 8.414]],
  "species": ["Tb", "Tb", "Tb", "Tb", "Tb", "Tb", "Nd", "Nd", "Er", "Er"],
  "fractional_positions": [[0.162, 0.001, 0.312], [0.162, 0.499, 0.312], [0.335, 0.250, 0.633], [0.665, 0.750, 0.367], [0.838, 0.501, 0.688], [0.838, 0.999, 0.688], [0.055, 0.250, 0.981], [0.945, 0.750, 0.019], [0.318, 0.750, 0.684], [0.682, 0.250, 0.316]]
}


2.
{
  "formula": "Tb3NdEr",
  "functional": "PBE",
  "state": "relaxed",
  "space_group": "P2_1/m, No. 11",
  "cell": [[6.281, 0.000, 0.000], [0.000, 5.718, 0.000], [-3.133, 0.000, 9.079]],
  "species": ["Tb", "Tb", "Tb", "Tb", "Tb", "Tb", "Nd", "Nd", "Er", "Er"],
  "fractional_positions": [[0.134, 0.250, 0.098], [0.268, 0.750, 0.702], [0.335, 0.250, 0.501], [0.665, 0.750, 0.499], [0.732, 0.250, 0.298], [0.866, 0.750, 0.902], [0.068, 0.750, 0.299], [0.932, 0.250, 0.701], [0.466, 0.750, 0.098], [0.534, 0.250, 0.902]]
}


Here are the energies relative to the best structure, in kJ/mol of atoms: 1 26.4; 2 0.0.


1.
{
  "formula": "Tb3Nd4Er",
  "functional": "PBE",
  "state": "relaxed",
  "space_group": "Pmn2_1, No. 31",
  "cell": [[11.628, 0.000, 0.000], [0.000, 7.337, 0.000], [0.000, 0.000, 6.323]],
  "species": ["Tb", "Tb", "Tb", "Tb", "Tb", "Tb", "Nd", "Nd", "Nd", "Nd", "Nd", "Nd", "Nd", "Nd", "Er", "Er"],
  "fractional_positions": [[0.000, 0.123, 0.000], [0.250, 0.122, 0.332], [0.250, 0.878, 0.832], [0.500, 0.877, 0.500], [0.750, 0.122, 0.332], [0.750, 0.878, 0.832], [0.000, 0.373, 0.501], [0.000, 0.627, 0.997], [0.248, 0.628, 0.334], [0.252, 0.372, 0.834], [0.500, 0.373, 0.497], [0.500, 0.627, 0.001], [0.748, 0.372, 0.834], [0.752, 0.628, 0.334], [0.000, 0.880, 0.499], [0.500, 0.120, 0.999]]
}


2.
{
  "formula": "Tb3Nd4Er",
  "functional": "PBE",
  "state": "relaxed",
  "space_group": "C2/m, No. 12",
  "cell": [[23.608, 0.000, 0.000], [0.000, 3.505, 0.000], [-1.967, 0.000, 6.557]],
  "species": ["Tb", "Tb", "Tb", "Tb", "Tb", "Tb", "Nd", "Nd", "Nd", "Nd", "Nd", "Nd", "Nd", "Nd", "Er", "Er"],
  "fractional_positions": [[0.000, 0.000, 0.000], [0.122, 0.000, 0.382], [0.378, 0.500, 0.618], [0.500, 0.500, 0.000], [0.622, 0.500, 0.382], [0.878, 0.000, 0.618], [0.123, 0.000, 0.867], [0.241, 0.500, 0.736], [0.259, 0.000, 0.264], [0.377, 0.500, 0.133], [0.623, 0.500, 0.867], [0.741, 0.000, 0.736], [0.759, 0.500, 0.264], [0.877, 0.000, 0.133], [0.000, 0.500, 0.500], [0.500, 0.000, 0.500]]
}


Here are the energies relative to the best structure, in kJ/mol of atoms: 1 0.0; 2 12.9.


1.
{
  "formula": "Tb6NdEr12",
  "functional": "PBE",
  "state": "relaxed",
  "space_group": "R-3m, No. 166",
  "cell": [[7.407, 4.277, 3.429], [-7.407, 4.277, 3.429], [0.000, -8.553, 3.429]],
  "species": ["Tb", "Tb", "Tb", "Tb", "Tb", "Tb", "Nd", "Er", "Er", "Er", "Er", "Er", "Er", "Er", "Er", "Er", "Er", "Er", "Er"],
  "fractional_positions": [[0.282, 0.687, 0.687], [0.313, 0.313, 0.718], [0.313, 0.718, 0.313], [0.687, 0.282, 0.687], [0.687, 0.687, 0.282], [0.718, 0.313, 0.313], [0.000, 0.000, 0.000], [0.112, 0.500, 0.888], [0.112, 0.888, 0.500], [0.116, 0.346, 0.346], [0.346, 0.116, 0.346], [0.346, 0.346, 0.116], [0.500, 0.112, 0.888], [0.500, 0.888, 0.112], [0.654, 0.654, 0.884], [0.654, 0.884, 0.654], [0.884, 0.654, 0.654], [0.888, 0.112, 0.500], [0.888, 0.500, 0.112]]
}


2.
{
  "formula": "Tb6NdEr12",
  "functional": "PBE",
  "state": "relaxed",
  "space_group": "R-3, No. 148",
  "cell": [[5.916, 3.416, 5.027], [-5.916, 3.416, 5.027], [0.000, -6.831, 5.027]],
  "species": ["Tb", "Tb", "Tb", "Tb", "Tb", "Tb", "Nd", "Er", "Er", "Er", "Er", "Er", "Er", "Er", "Er", "Er", "Er", "Er", "Er"],
  "fractional_positions": [[0.184, 0.756, 0.590], [0.244, 0.410, 0.816], [0.410, 0.816, 0.244], [0.590, 0.184, 0.756], [0.756, 0.590, 0.184], [0.816, 0.244, 0.410], [0.500, 0.500, 0.500], [0.045, 0.937, 0.272], [0.063, 0.728, 0.955], [0.147, 0.492, 0.286], [0.272, 0.045, 0.937], [0.286, 0.147, 0.492], [0.492, 0.286, 0.147], [0.508, 0.714, 0.853], [0.714, 0.853, 0.508], [0.728, 0.955, 0.063], [0.853, 0.508, 0.714], [0.937, 0.272, 0.045], [0.955, 0.063, 0.728]]
}


Here are the energies relative to the best structure, in kJ/mol of atoms: 1 27.8; 2 0.0.